*P*
First-principles (PBE) data for a relaxed Y4Ho4Tm crystal, as listed in Alexandria via LeMat-Bulk.

- V (Å³ per cell) = 565.3
- density of states at the Fermi level (states/eV/cell) = 26.2

Cell: 10.6344 10.6344 4.9990 Å, 90.00 90.00 90.00°
Space group I4/mmm (No. 139)
One atom of each set of equivalent atoms:
Y 0.1664 0.1664 0.0000 [8 per cell]
Ho 0.0000 0.3344 0.5000 [8 per cell]
Tm 0.0000 0.0000 0.5000 [2 per cell]

=====

*Q*
First-principles (PBE) data for a relaxed Y4Ho4Tm crystal, as listed in Alexandria via LeMat-Bulk.

- V (Å³ per cell) = 286.8
- density of states at the Fermi level (states/eV/cell) = 17.3

Cell: 5.4865 6.7545 8.7799 Å, 110.91 108.02 90.01°
Space group P-1 (No. 2)
One atom of each set of equivalent atoms:
Y 0.1353 0.4735 0.2684 [2 per cell]
Y 0.2799 0.2026 0.5604 [2 per cell]
Ho 0.0741 0.8869 0.1447 [2 per cell]
Ho 0.3632 0.7963 0.7288 [2 per cell]
Tm 0.5000 0.5000 0.0000 [1 per cell]

=====

Order of stability, best first: *P*, *Q*

=====

*P*
First-principles (PBE) data for a relaxed Y3Ho4Tm crystal, as listed in Alexandria via LeMat-Bulk.

- V (Å³ per cell) = 514.1
- density of states at the Fermi level (states/eV/cell) = 28.2

Cell: 23.3594 3.4701 6.6117 Å, 90.00 106.40 90.00°
Space group C2/m (No. 12)
One atom of each set of equivalent atoms:
Y 0.0000 0.0000 0.0000 [2 per cell]
Y 0.1249 0.0000 0.3809 [4 per cell]
Ho 0.1242 0.0000 0.8669 [4 per cell]
Ho 0.2392 0.5000 0.7422 [4 per cell]
Tm 0.0000 0.5000 0.5000 [2 per cell]

=====

*Q*
First-principles (PBE) data for a relaxed Y3Ho4Tm crystal, as listed in Alexandria via LeMat-Bulk.

- V (Å³ per cell) = 507.9
- density of states at the Fermi level (states/eV/cell) = 27.3

Cell: 11.1967 7.2447 6.2616 Å, 90.00 90.00 90.00°
Space group Pmn2_1 (No. 31)
One atom of each set of equivalent atoms:
Y 0.0000 0.1259 0.0000 [2 per cell]
Y 0.2495 0.1258 0.3361 [4 per cell]
Ho 0.0000 0.3767 0.5046 [2 per cell]
Ho 0.0000 0.6242 0.0031 [2 per cell]
Ho 0.2488 0.6242 0.3351 [4 per cell]
Tm 0.0000 0.8736 0.5008 [2 per cell]

=====

Order of stability, best first: *Q*, *P*

=====

*P*
First-principles (PBE) data for a relaxed YHo6Tm12 crystal, as listed in Alexandria via LeMat-Bulk.

- V (Å³ per cell) = 1791.2
- density of states at the Fermi level (states/eV/cell) = 93.2

Cell: 11.7197 11.7197 15.0583 Å, 90.00 90.00 120.00°
Space group R-3 (No. 148, hexagonal axes)
One atom of each set of equivalent atoms:
Y 0.0000 0.0000 0.0000 [3 per cell]
Ho 0.0086 0.4217 0.6766 [18 per cell]
Tm 0.0218 0.8378 0.1920 [18 per cell]
Tm 0.0393 0.8520 0.4154 [18 per cell]

=====

*Q*
First-principles (PBE) data for a relaxed YHo6Tm12 crystal, as listed in Alexandria via LeMat-Bulk.

- V (Å³ per cell) = 1908.3
- density of states at the Fermi level (states/eV/cell) = 76.0

Cell: 14.8757 14.8757 9.9576 Å, 90.00 90.00 120.00°
Space group R-3m (No. 166, hexagonal axes)
One atom of each set of equivalent atoms:
Y 0.0000 0.0000 0.0000 [3 per cell]
Ho 0.0561 0.5280 0.2131 [18 per cell]
Tm 0.0000 0.3891 0.5000 [18 per cell]
Tm 0.0734 0.1468 0.2826 [18 per cell]

=====

Order of stability, best first: *P*, *Q*